Computed, not measured: a relaxed Sr4PbCl crystal at the GGA-PBE level of DFT.

VASP energy, eV per atom: -2.0546
Crystal system: cubic
Energy relative to the elements, uncorrected, eV per atom: -0.01

The structure in CIF format:
```
data_Sr4PbCl
_symmetry_space_group_name_H-M 'P 1'
_symmetry_Int_Tables_number 1
_symmetry_space_group_name_Hall 'P 1'
_cell_length_a 7.2425
_cell_length_b 7.2425
_cell_length_c 7.2425
_cell_angle_alpha 60.00
_cell_angle_beta 60.00
_cell_angle_gamma 60.00
loop_
_atom_site_label
_atom_site_fract_x
_atom_site_fract_y
_atom_site_fract_z
_atom_site_occupancy
Sr1 0.3762 0.3762 0.3762 1
Sr2 0.3762 0.3762 0.8714 1
Sr3 0.3762 0.8714 0.3762 1
Sr4 0.8714 0.3762 0.3762 1
Pb1 0.7500 0.7500 0.7500 1
Cl1 0.0000 0.0000 0.0000 1
```

***

Computed, not measured: a relaxed SrPbCl crystal at the GGA-PBE level of DFT.

VASP energy, eV per atom: -3.0163
Polymorph energy (0 for the lowest one), meV/atom: 678
Crystal system: cubic
Energy relative to the elements, uncorrected, eV per atom: -0.60

The structure in CIF format:
```
data_SrPbCl
_symmetry_space_group_name_H-M 'P 1'
_symmetry_Int_Tables_number 1
_symmetry_space_group_name_Hall 'P 1'
_cell_length_a 5.2715
_cell_length_b 5.2715
_cell_length_c 5.2715
_cell_angle_alpha 60.00
_cell_angle_beta 60.00
_cell_angle_gamma 60.00
loop_
_atom_site_label
_atom_site_fract_x
_atom_site_fract_y
_atom_site_fract_z
_atom_site_occupancy
Sr1 0.0000 0.0000 0.0000 1
Pb1 0.5000 0.5000 0.5000 1
Cl1 0.7500 0.7500 0.7500 1
```

***

Computed, not measured: a relaxed Sr2PbCl crystal at the GGA-PBE level of DFT.

VASP energy, eV per atom: -3.3718
Polymorph energy (0 for the lowest one), meV/atom: 76
Crystal system: orthorhombic
Energy relative to the elements, uncorrected, eV per atom: -1.14

The structure in CIF format:
```
data_Sr2PbCl
_symmetry_space_group_name_H-M 'P 1'
_symmetry_Int_Tables_number 1
_symmetry_space_group_name_Hall 'P 1'
_cell_length_a 4.2517
_cell_length_b 5.0956
_cell_length_c 6.6122
_cell_angle_alpha 90.00
_cell_angle_beta 90.00
_cell_angle_gamma 90.00
loop_
_atom_site_label
_atom_site_fract_x
_atom_site_fract_y
_atom_site_fract_z
_atom_site_occupancy
Sr1 0.0000 0.0000 0.0000 1
Sr2 0.5000 0.5000 0.5000 1
Pb1 0.0000 0.0000 0.5000 1
Cl1 0.5000 0.5000 0.0000 1
```

***

Computed, not measured: a relaxed SrPb2Cl crystal at the GGA-PBE level of DFT.

VASP energy, eV per atom: -3.4286
Polymorph energy (0 for the lowest one), meV/atom: 191
Crystal system: orthorhombic
Energy relative to the elements, uncorrected, eV per atom: -0.69

The structure in CIF format:
```
data_SrPb2Cl
_symmetry_space_group_name_H-M 'P 1'
_symmetry_Int_Tables_number 1
_symmetry_space_group_name_Hall 'P 1'
_cell_length_a 6.5584
_cell_length_b 6.5584
_cell_length_c 6.5584
_cell_angle_alpha 146.39
_cell_angle_beta 120.06
_cell_angle_gamma 70.51
loop_
_atom_site_label
_atom_site_fract_x
_atom_site_fract_y
_atom_site_fract_z
_atom_site_occupancy
Sr1 0.0000 0.0000 0.0000 1
Pb1 0.2847 0.7847 0.5000 1
Pb2 0.5283 0.5283 0.0000 1
Cl1 0.8042 0.3042 0.5000 1
```

***

Computed, not measured: a relaxed Sr2PbCl crystal at the GGA-PBE level of DFT.

VASP energy, eV per atom: -3.2617
Polymorph energy (0 for the lowest one), meV/atom: 186
Crystal system: orthorhombic
Energy relative to the elements, uncorrected, eV per atom: -1.03

The structure in CIF format:
```
data_Sr2PbCl
_symmetry_space_group_name_H-M 'P 1'
_symmetry_Int_Tables_number 1
_symmetry_space_group_name_Hall 'P 1'
_cell_length_a 6.1521
_cell_length_b 6.1521
_cell_length_c 6.1521
_cell_angle_alpha 137.30
_cell_angle_beta 110.89
_cell_angle_gamma 84.75
loop_
_atom_site_label
_atom_site_fract_x
_atom_site_fract_y
_atom_site_fract_z
_atom_site_occupancy
Sr1 0.2142 0.2142 0.0000 1
Sr2 0.7858 0.7858 0.0000 1
Pb1 0.5000 0.0000 0.5000 1
Cl1 0.0000 0.5000 0.5000 1
```

***

Computed, not measured: a relaxed SrPb2Cl crystal at the GGA-PBE level of DFT.

VASP energy, eV per atom: -3.4993
Polymorph energy (0 for the lowest one), meV/atom: 120
Crystal system: tetragonal
Energy relative to the elements, uncorrected, eV per atom: -0.76

The structure in CIF format:
```
data_SrPb2Cl
_symmetry_space_group_name_H-M 'P 1'
_symmetry_Int_Tables_number 1
_symmetry_space_group_name_Hall 'P 1'
_cell_length_a 14.2351
_cell_length_b 14.2351
_cell_length_c 14.2351
_cell_angle_alpha 162.18
_cell_angle_beta 162.18
_cell_angle_gamma 25.31
loop_
_atom_site_label
_atom_site_fract_x
_atom_site_fract_y
_atom_site_fract_z
_atom_site_occupancy
Sr1 0.0000 0.0000 0.0000 1
Sr2 0.7500 0.2500 0.5000 1
Pb1 0.1157 0.6250 0.9907 1
Pb2 0.3750 0.3657 0.4907 1
Pb3 0.6343 0.1250 0.0093 1
Pb4 0.8750 0.8843 0.5093 1
Cl1 0.2500 0.7500 0.5000 1
Cl2 0.5000 0.5000 0.0000 1
```

***

Computed, not measured: a relaxed SrPbCl4 crystal at the GGA-PBE level of DFT.

VASP energy, eV per atom: -3.9487
Crystal system: monoclinic
Energy relative to the elements, uncorrected, eV per atom: -1.82

The structure in CIF format:
```
data_SrPbCl4
_symmetry_space_group_name_H-M 'P 1'
_symmetry_Int_Tables_number 1
_symmetry_space_group_name_Hall 'P 1'
_cell_length_a 8.6235
_cell_length_b 8.6235
_cell_length_c 7.0439
_cell_angle_alpha 114.07
_cell_angle_beta 114.07
_cell_angle_gamma 109.49
loop_
_atom_site_label
_atom_site_fract_x
_atom_site_fract_y
_atom_site_fract_z
_atom_site_occupancy
Sr1 0.1252 0.8748 0.7500 1
Sr2 0.8748 0.1252 0.2500 1
Pb1 0.3751 0.6249 0.2500 1
Pb2 0.6249 0.3751 0.7500 1
Cl1 0.9996 0.5004 0.2505 1
Cl2 0.0004 0.4996 0.7495 1
Cl3 0.2491 0.2497 0.2492 1
Cl4 0.2497 0.2491 0.7492 1
Cl5 0.4996 0.0004 0.2495 1
Cl6 0.5004 0.9996 0.7505 1
Cl7 0.7503 0.7509 0.2508 1
Cl8 0.7509 0.7503 0.7508 1
```

***

Computed, not measured: a relaxed Sr2PbCl crystal at the GGA-PBE level of DFT.

VASP energy, eV per atom: -3.4263
Polymorph energy (0 for the lowest one), meV/atom: 21
Crystal system: orthorhombic
Energy relative to the elements, uncorrected, eV per atom: -1.20

The structure in CIF format:
```
data_Sr2PbCl
_symmetry_space_group_name_H-M 'P 1'
_symmetry_Int_Tables_number 1
_symmetry_space_group_name_Hall 'P 1'
_cell_length_a 3.9033
_cell_length_b 4.4785
_cell_length_c 8.4679
_cell_angle_alpha 90.00
_cell_angle_beta 90.00
_cell_angle_gamma 90.00
loop_
_atom_site_label
_atom_site_fract_x
_atom_site_fract_y
_atom_site_fract_z
_atom_site_occupancy
Sr1 0.0000 0.0000 0.2246 1
Sr2 0.0000 0.0000 0.7754 1
Pb1 0.5000 0.5000 0.0000 1
Cl1 0.5000 0.0000 0.5000 1
```

***

Computed, not measured: a relaxed SrPb2Cl crystal at the GGA-PBE level of DFT.

VASP energy, eV per atom: -3.2643
Polymorph energy (0 for the lowest one), meV/atom: 355
Crystal system: orthorhombic
Energy relative to the elements, uncorrected, eV per atom: -0.53

The structure in CIF format:
```
data_SrPb2Cl
_symmetry_space_group_name_H-M 'P 1'
_symmetry_Int_Tables_number 1
_symmetry_space_group_name_Hall 'P 1'
_cell_length_a 6.9290
_cell_length_b 6.9290
_cell_length_c 3.9101
_cell_angle_alpha 90.00
_cell_angle_beta 90.00
_cell_angle_gamma 130.27
loop_
_atom_site_label
_atom_site_fract_x
_atom_site_fract_y
_atom_site_fract_z
_atom_site_occupancy
Sr1 0.0000 0.0000 0.0000 1
Pb1 0.0000 0.5000 0.5000 1
Pb2 0.5000 0.0000 0.5000 1
Cl1 0.5000 0.5000 0.0000 1
```

***

Computed, not measured: a relaxed SrPbCl crystal at the GGA-PBE level of DFT.

VASP energy, eV per atom: -3.2435
Polymorph energy (0 for the lowest one), meV/atom: 451
Crystal system: trigonal
Energy relative to the elements, uncorrected, eV per atom: -0.83

The structure in CIF format:
```
data_SrPbCl
_symmetry_space_group_name_H-M 'P 1'
_symmetry_Int_Tables_number 1
_symmetry_space_group_name_Hall 'P 1'
_cell_length_a 4.8510
_cell_length_b 4.8510
_cell_length_c 5.4694
_cell_angle_alpha 90.00
_cell_angle_beta 90.00
_cell_angle_gamma 120.00
loop_
_atom_site_label
_atom_site_fract_x
_atom_site_fract_y
_atom_site_fract_z
_atom_site_occupancy
Sr1 0.0000 0.0000 0.0000 1
Pb1 0.3333 0.6667 0.5003 1
Cl1 0.6667 0.3333 0.0010 1
```

***

Computed, not measured: a relaxed SrPbCl4 crystal at the GGA-PBE level of DFT.

VASP energy, eV per atom: -2.6951
Crystal system: cubic
Energy relative to the elements, uncorrected, eV per atom: -0.57

The structure in CIF format:
```
data_SrPbCl4
_symmetry_space_group_name_H-M 'P 1'
_symmetry_Int_Tables_number 1
_symmetry_space_group_name_Hall 'P 1'
_cell_length_a 6.1158
_cell_length_b 6.1158
_cell_length_c 6.1158
_cell_angle_alpha 60.00
_cell_angle_beta 60.00
_cell_angle_gamma 60.00
loop_
_atom_site_label
_atom_site_fract_x
_atom_site_fract_y
_atom_site_fract_z
_atom_site_occupancy
Sr1 0.0000 0.0000 0.0000 1
Pb1 0.2500 0.2500 0.2500 1
Cl1 0.1229 0.6257 0.6257 1
Cl2 0.6257 0.1229 0.6257 1
Cl3 0.6257 0.6257 0.1229 1
Cl4 0.6257 0.6257 0.6257 1
```

***

- Number 3 is which compound?
  Sr2PbCl